(1)
12
Lattice="9.8549 -2.2632 0.0000 9.8549 2.2632 0.0000 -2.0548 0.0000 8.8089" Properties=species:S:1:pos:R:3 comment="Pm3YHo2Bi6, relaxed, DFT PBE-GGA" dos_at_fermi_per_ev_cell=2.020 crystal_system=monoclinic space_group="No. 12" e_form_kj_per_mol_atoms=-87 volume_a3_per_fu=392.9 pbc="T T T"
Pm 0.0000 0.0000 0.0000
Pm 5.2037 0.0000 5.8755
Pm 12.4512 0.0000 2.9335
Y -1.0274 0.0000 4.4045
Ho 6.2271 0.0000 1.4703
Ho 11.4279 0.0000 7.3386
Bi 2.0519 0.0000 5.1781
Bi 3.1594 0.0000 0.6928
Bi 9.2978 0.0000 2.2299
Bi 8.3572 0.0000 6.5790
Bi 14.4956 0.0000 8.1161
Bi 15.6031 0.0000 3.6308

***

(2)
5
Lattice="4.7291 0.0000 0.0000 0.0000 4.7291 0.0000 0.0000 0.0000 4.2793" Properties=species:S:1:pos:R:3 comment="Nb2AlGaOs, relaxed, DFT PBE-GGA" dos_at_fermi_per_ev_cell=2.686 crystal_system=tetragonal space_group="No. 123" e_form_kj_per_mol_atoms=120 volume_a3_per_fu=95.7 pbc="T T T"
Nb 0.0000 2.3645 0.0000
Nb 2.3645 0.0000 0.0000
Al 0.0000 0.0000 2.1396
Ga 0.0000 0.0000 0.0000
Os 2.3645 2.3645 2.1396